Entry 1:
{
  "formula": "ZrTi2Tl2Te6",
  "functional": "PBE",
  "state": "relaxed",
  "lattice": [[-1.351, 6.582, -1.565], [0.499, -4.729, -4.999], [-8.021, -2.160, 2.795]],
  "species": ["Zr", "Ti", "Ti", "Tl", "Tl", "Te", "Te", "Te", "Te", "Te", "Te"],
  "fractional_positions": [[0.000, 0.000, 0.500], [0.327, 0.673, 0.500], [0.673, 0.327, 0.500], [0.842, 0.158, 0.000], [0.158, 0.842, 0.000], [0.716, 0.716, 0.697], [0.069, 0.410, 0.703], [0.284, 0.284, 0.303], [0.410, 0.069, 0.703], [0.931, 0.590, 0.297], [0.590, 0.931, 0.297]]
}



Entry 2:
{
  "formula": "Zr3TiTl3Te8",
  "functional": "PBE",
  "state": "relaxed",
  "lattice": [[8.057, 0.000, -0.002], [-4.028, 6.972, -0.028], [0.000, -4.606, 8.629]],
  "species": ["Zr", "Zr", "Zr", "Ti", "Tl", "Tl", "Tl", "Te", "Te", "Te", "Te", "Te", "Te", "Te", "Te"],
  "fractional_positions": [[0.500, 0.000, 0.500], [0.500, 0.500, 0.500], [0.000, 0.500, 0.500], [0.000, 0.000, 0.500], [0.000, 0.000, 0.000], [0.000, 0.500, 0.000], [0.500, 0.500, 0.000], [0.264, 0.528, 0.291], [0.736, 0.472, 0.709], [0.770, 0.540, 0.297], [0.230, 0.460, 0.703], [0.770, 0.027, 0.297], [0.230, 0.973, 0.703], [0.257, 0.027, 0.297], [0.743, 0.973, 0.703]]
}



Entry 3:
{
  "formula": "TmTi3Te6",
  "functional": "PBE",
  "state": "relaxed",
  "lattice": [[3.985, 0.000, 0.000], [0.000, 11.646, -0.045], [0.000, -3.935, 11.338]],
  "species": ["Tm", "Tm", "Ti", "Ti", "Ti", "Ti", "Ti", "Ti", "Te", "Te", "Te", "Te", "Te", "Te", "Te", "Te", "Te", "Te", "Te", "Te"],
  "fractional_positions": [[0.750, 0.054, 0.701], [0.250, 0.946, 0.299], [0.750, 0.446, 0.861], [0.250, 0.554, 0.139], [0.750, 0.683, 0.511], [0.250, 0.317, 0.489], [0.750, 0.134, 0.074], [0.250, 0.866, 0.926], [0.750, 0.481, 0.618], [0.250, 0.519, 0.382], [0.750, 0.906, 0.095], [0.250, 0.094, 0.905], [0.750, 0.378, 0.063], [0.250, 0.622, 0.937], [0.750, 0.721, 0.277], [0.250, 0.279, 0.723], [0.750, 0.123, 0.470], [0.250, 0.877, 0.530], [0.750, 0.804, 0.755], [0.250, 0.196, 0.245]]
}



Entry 4:
{
  "formula": "TmTiTe2",
  "functional": "PBE",
  "state": "relaxed",
  "lattice": [[-1.012, 2.473, -2.682], [-3.162, -0.569, -2.003], [-6.346, 5.570, 4.858]],
  "species": ["Tm", "Te", "Te", "Ti"],
  "fractional_positions": [[0.000, 0.000, 0.000], [0.106, 0.106, 0.681], [0.894, 0.894, 0.319], [0.500, 0.500, 0.500]]
}



Number 1: calculated total energy -54.89 eV per cell. Number 2: calculated total energy -75.85 eV per cell. Number 3: calculated total energy -109.48 eV per cell. Number 4: calculated total energy -20.64 eV per cell.